Entry 1:
The following is a PBE calculation of a geometry-optimized TiNb3Cr8 structure, from Alexandria.

Summary:
Total energy, eV per atom: -9.661
ΔE_f, eV/f.u.: -0.8

```
12
Lattice="4.896 0.000 0.000 -2.448 4.240 0.000 0.000 0.000 8.030" Properties=species:S:1:pos:R:3 pbc="T T T"
Cr 0.000 2.827 4.009
Nb 0.000 0.000 7.534
Cr 3.654 2.110 6.013
Ti 0.000 0.000 4.502
Cr 0.000 1.386 2.018
Cr 0.000 2.827 0.003
Cr -1.247 3.547 2.018
Nb 2.448 1.413 0.478
Cr 1.247 3.547 2.018
Cr 1.242 2.110 6.013
Nb 2.448 1.413 3.549
Cr 2.448 0.020 6.013
```

***

Entry 2:
The following is a PBE calculation of a geometry-optimized LiReRh2 structure, from Alexandria.

Summary:
Total energy, eV per atom: -7.400
ΔE_f, eV/f.u.: -0.5

```
4
Lattice="-1.038 0.326 -2.608 -2.283 -1.501 0.721 -3.111 5.664 1.946" Properties=species:S:1:pos:R:3 pbc="T T T"
Re -3.994 3.661 0.516
Rh -1.519 2.765 0.950
Li -2.438 0.828 -0.457
Rh -0.037 0.067 0.023
```

***

Entry 3:
The following is a PBE calculation of a geometry-optimized KBaRh2 structure, from Alexandria.

Summary:
Total energy, eV per atom: -3.711
ΔE_f, eV/f.u.: 2.9

```
8
Lattice="-0.336 -5.399 -6.531 8.472 -0.353 -0.144 4.005 -5.147 -1.457" Properties=species:S:1:pos:R:3 pbc="T T T"
K 8.272 -4.188 -2.469
Ba 0.000 0.000 0.000
Rh 6.022 -6.016 -3.595
Ba 3.868 -6.711 -5.662
Rh 1.849 -4.726 -4.489
K 4.068 -2.876 -3.337
Rh 10.154 -8.895 -6.934
Rh 6.255 -2.162 -1.246
```

***

Entry 4:
The following is a PBE calculation of a geometry-optimized NpUPbO6 structure, from Alexandria.

Summary:
Total energy, eV per atom: -9.022
Formation energy without anion corrections, eV/atom: -2.613

```
18
Lattice="5.942 0.000 0.000 -2.971 5.146 0.000 0.000 0.000 10.090" Properties=species:S:1:pos:R:3 pbc="T T T"
Pb 0.000 0.000 5.045
O 1.846 3.265 6.505
O 1.905 3.231 1.460
O 0.779 5.112 8.630
Np 0.000 3.431 2.522
O 2.192 0.034 1.460
Pb 0.000 0.000 0.000
O 4.037 3.231 3.585
U 0.000 3.431 7.567
Np 2.971 1.715 7.567
O 1.066 1.915 8.630
O 1.125 1.881 3.585
O 3.750 0.034 3.585
O -1.066 1.915 6.505
U 2.971 1.715 2.522
O -0.779 5.112 6.505
O -1.846 3.265 8.630
O 4.817 1.881 1.460
```

***

Entry 5:
The following is a PBE calculation of a geometry-optimized Cs2UAsS4 structure, from Alexandria.

Summary:
Total energy, eV per atom: -5.102
Formation energy without anion corrections, eV/atom: -0.832

```
16
Lattice="-4.285 -2.744 2.108 2.266 -3.407 7.369 -6.253 10.086 7.615" Properties=species:S:1:pos:R:3 pbc="T T T"
Cs -6.616 5.209 11.322
S -5.550 3.602 8.028
S -2.363 2.527 5.456
S -2.845 -1.246 3.617
Cs -4.844 6.158 5.366
S -5.910 7.765 8.660
S -2.858 0.245 9.131
Cs -5.694 1.183 4.357
U -5.207 1.281 9.073
S -5.774 1.494 11.569
As -2.143 -1.372 1.054
S -0.083 -2.371 7.311
U 0.000 0.000 0.000
Cs -3.798 -2.646 6.824
S -7.706 3.722 14.595
As -3.065 2.653 8.019
```

***

Entry 6:
The following is a PBE calculation of a geometry-optimized SmGaCu structure, from Alexandria.

Summary:
Total energy, eV per atom: -4.406
ΔE_f, eV/f.u.: -1.4

```
6
Lattice="4.304 0.000 0.434 0.000 4.326 0.000 -0.670 0.000 6.604" Properties=species:S:1:pos:R:3 pbc="T T T"
Cu 0.734 3.245 3.410
Ga 0.882 1.082 2.050
Cu 2.900 1.082 3.628
Sm 0.533 1.082 5.483
Sm 3.102 3.245 1.555
Ga 2.753 3.245 4.987
```